Below is an optimized crystal structure of TlCd3Sn, with properties calculated at the PBE-GGA level.

Values from the calculation:
calculated formation energy = 47.0 meV/atom
energy relative to the lowest polymorph listed for this composition = 0 meV/atom

a = 9.5867 Å, b = 5.8763 Å, c = 9.7459 Å
α = 90.00°, β = 103.58°, γ = 90.00°
Atoms (fractional coordinates):
Tl (0.1064, 0.1209, 0.2137)
Tl (0.1064, 0.3791, 0.7137)
Tl (0.8936, 0.6209, 0.2863)
Tl (0.8936, 0.8791, 0.7863)
Cd (0.1262, 0.6330, 0.0604)
Cd (0.1262, 0.8670, 0.5604)
Cd (0.2673, 0.6050, 0.3664)
Cd (0.2673, 0.8950, 0.8664)
Cd (0.4373, 0.6426, 0.6793)
Cd (0.4373, 0.8574, 0.1793)
Cd (0.5627, 0.1426, 0.8207)
Cd (0.5627, 0.3574, 0.3207)
Cd (0.7327, 0.1050, 0.1336)
Cd (0.7327, 0.3950, 0.6336)
Cd (0.8738, 0.1330, 0.4396)
Cd (0.8738, 0.3670, 0.9396)
Sn (0.3803, 0.1640, 0.5240)
Sn (0.3803, 0.3360, 0.0240)
Sn (0.6197, 0.6640, 0.9760)
Sn (0.6197, 0.8360, 0.4760)


Below is an optimized crystal structure of Tl2CdSn, with properties calculated at the PBE-GGA level.

Values from the calculation:
calculated formation energy = 98.8 meV/atom
energy relative to the lowest polymorph listed for this composition = 76 meV/atom

a = 11.6459 Å, b = 11.6459 Å, c = 11.6459 Å
α = 16.76°, β = 16.76°, γ = 16.76°
Atoms (fractional coordinates):
Tl (0.0908, 0.0908, 0.0908)
Tl (0.9092, 0.9092, 0.9092)
Cd (0.5000, 0.5000, 0.5000)
Sn (0.0000, 0.0000, 0.0000)


Below is an optimized crystal structure of TlCdSn6, with properties calculated at the PBE-GGA level.

Values from the calculation:
calculated formation energy = 69.8 meV/atom
energy relative to the lowest polymorph listed for this composition = 9 meV/atom

a = 4.9351 Å, b = 4.9351 Å, c = 9.0960 Å
α = 90.00°, β = 90.00°, γ = 90.00°
Atoms (fractional coordinates):
Tl (0.0000, 0.0000, 0.0000)
Cd (0.0000, 0.0000, 0.5000)
Sn (0.0000, 0.5000, 0.2598)
Sn (0.0000, 0.5000, 0.7402)
Sn (0.5000, 0.0000, 0.2598)
Sn (0.5000, 0.0000, 0.7402)
Sn (0.5000, 0.5000, 0.0000)
Sn (0.5000, 0.5000, 0.5000)


Below is an optimized crystal structure of Tl2CdSn, with properties calculated at the PBE-GGA level.

Values from the calculation:
calculated formation energy = 116.8 meV/atom
energy relative to the lowest polymorph listed for this composition = 94 meV/atom

a = 12.0932 Å, b = 12.0932 Å, c = 12.0932 Å
α = 158.59°, β = 158.59°, γ = 30.45°
Atoms (fractional coordinates):
Tl (0.1222, 0.6250, 0.9972)
Tl (0.3750, 0.3722, 0.4972)
Tl (0.6278, 0.1250, 0.0028)
Tl (0.8750, 0.8778, 0.5028)
Cd (0.0000, 0.0000, 0.0000)
Cd (0.7500, 0.2500, 0.5000)
Sn (0.2500, 0.7500, 0.5000)
Sn (0.5000, 0.5000, 0.0000)